Crystalline Cu2AsO at its relaxed geometry. Source: the Alexandria database, functional PBE. Values from VASP.

Structure (Quantum ESPRESSO input):
```
&SYSTEM
  ibrav = 0, nat = 4, ntyp = 3
/
ATOMIC_SPECIES
Cu 63.55 Cu.upf
As 74.92 As.upf
O 16.00 O.upf
CELL_PARAMETERS angstrom
0.518 -3.405 -2.290
1.528 -3.437 1.721
-2.448 -3.282 0.591
ATOMIC_POSITIONS angstrom
Cu -0.100 -2.531 0.005
As -0.200 -5.062 0.011
Cu -0.301 -7.593 0.016
O 0.000 0.000 0.000
```

Summary:
**Magnetic moment**: 0.000 μB/atom
**Symmetry**: Fm-3m, No. 225
**Excess energy over the best structure of this formula in the dataset**: 0.483 eV per atom